A geometry-optimized ZrMn2Sb structure. Source: Alexandria via LeMat-Bulk, functional PBE.

Properties
total magnetic moment	4.09	μB per cell
D(E_F)	3.26	states/eV/cell
formation energy from raw total energies	-35	meV per atom

a b c (Å): 5.208 5.208 4.349
angles (deg): 114.54 114.54 40.14
Fractional coordinates of all 4 atoms:
Zr (0.000, 0.000, 0.000)
Mn (0.243, 0.243, 0.744)
Mn (0.521, 0.521, 0.521)
Sb (0.768, 0.768, 0.270)